[1]
Entry from the Alexandria database: a PBEsol-optimized structure of LiCoAsBr2 (SCAN).

Calculated values
formation energy (no corrections): -156.1 meV/atom
SG: P4/mmm (123)
V: 113 Å³/f.u.
magnetic moment: 0.00 μB per cell

```
LiCoAsBr2
1.0
5.124 0.000 0.000
0.000 5.124 0.000
0.000 0.000 4.306
Li Co As Br
1 1 1 2
Cartesian
0.000 0.000 0.000
2.562 2.562 2.153
2.562 2.562 0.000
0.000 2.562 2.153
2.562 0.000 2.153
```

***

[2]
Entry from the Alexandria database: a PBEsol-optimized structure of Ba5P3BrO12 (SCAN).

Calculated values
formation energy (no corrections): -3137.3 meV/atom
SG: P6_3/m (176)
V: 355 Å³/f.u.
magnetic moment: 0.00 μB per cell

```
Ba5P3BrO12
1.0
10.343 0.000 0.000
-5.171 8.957 0.000
0.000 0.000 7.658
Ba P Br O
10 6 2 24
Cartesian
-1.225 2.383 1.915
-2.495 8.827 1.915
1.451 2.252 5.744
0.000 5.971 0.012
0.000 5.971 3.817
5.171 2.986 3.841
5.171 2.986 7.647
3.720 6.704 1.915
7.666 0.130 5.744
6.397 6.574 5.744
-1.708 3.654 5.744
-1.153 8.609 5.744
2.310 3.307 1.915
2.861 5.650 5.744
6.324 0.348 1.915
6.880 5.303 1.915
0.000 0.000 0.000
0.000 0.000 3.829
-0.921 3.212 4.480
-0.921 3.212 7.008
-1.756 5.215 5.744
-2.018 5.882 1.915
-1.929 8.148 4.480
-1.929 8.148 7.008
1.087 4.268 1.915
2.321 2.404 0.651
2.321 2.404 3.178
1.532 4.829 5.744
0.223 7.870 5.744
4.240 1.193 5.744
0.932 7.764 1.915
4.948 1.087 1.915
3.639 4.128 1.915
2.850 6.553 4.480
2.850 6.553 7.008
4.085 4.689 5.744
7.100 0.808 0.651
7.100 0.808 3.178
7.189 3.075 5.744
6.927 3.742 1.915
6.092 5.745 0.651
6.092 5.745 3.178
```

***

[3]
Entry from the Alexandria database: a PBEsol-optimized structure of Nb3ZnGa (SCAN).

Calculated values
energy relative to the elements: 94 kJ/mol of atoms
SG: Pm-3m (221)
V: 100 Å³/f.u.
magnetic moment: 0.00 μB per cell

```
Nb3ZnGa
1.0
4.639 0.000 0.000
0.000 4.639 0.000
0.000 0.000 4.639
Nb Zn Ga
3 1 1
Cartesian
0.000 0.000 2.319
0.000 2.319 0.000
2.319 0.000 0.000
0.000 0.000 0.000
2.319 2.319 2.319
```

***

[4]
Entry from the Alexandria database: a PBEsol-optimized structure of YAg2Rh (SCAN).

Calculated values
offset from the most stable computed form: 239.6 meV per atom
energy relative to the elements: -19 kJ/mol of atoms
SG: Fm-3m (225)
V: 73 Å³/f.u.
magnetic moment: 0.00 μB per cell

```
YAg2Rh
1.0
0.000 3.315 3.315
3.315 0.000 3.315
3.315 3.315 0.000
Y Ag Rh
1 2 1
Cartesian
0.000 0.000 0.000
1.657 1.657 1.657
4.972 4.972 4.972
3.315 3.315 3.315
```

***

[5]
Entry from the Alexandria database: a PBEsol-optimized structure of Ba2Hf7O16 (SCAN).

Calculated values
formation energy (no corrections): -3737.4 meV/atom
SG: R-3 (148)
V: 317 Å³/f.u.
magnetic moment: 0.00 μB per cell

```
Ba2Hf7O16
1.0
3.198 1.846 8.959
-3.198 1.846 8.959
0.000 -3.693 8.959
Ba Hf O
2 7 16
Cartesian
0.000 0.000 4.466
0.000 0.000 22.412
-2.349 -0.015 10.301
-1.162 -2.042 16.577
1.187 -2.027 10.301
0.000 0.000 13.439
-1.187 2.027 16.577
1.162 2.042 10.301
2.349 0.015 16.577
0.000 0.000 1.807
-0.838 -1.585 9.750
-1.692 -0.028 12.222
0.000 0.000 7.159
-0.822 -1.479 14.656
-0.954 1.518 9.750
-1.792 -0.067 17.127
0.870 -1.451 12.222
-0.870 1.451 14.656
1.792 0.067 9.750
0.954 -1.518 17.127
0.822 1.479 12.222
0.000 0.000 19.719
1.692 0.028 14.656
0.838 1.585 17.127
0.000 0.000 25.071
```

***

[6]
Entry from the Alexandria database: a PBEsol-optimized structure of RbTaAgGe2 (SCAN).

Calculated values
energy relative to the elements: 147 kJ/mol of atoms
SG: P4/mmm (123)
V: 130 Å³/f.u.
magnetic moment: 2.82 μB per cell

```
RbTaAgGe2
1.0
4.929 0.000 0.000
0.000 4.929 0.000
0.000 0.000 5.366
Rb Ta Ag Ge
1 1 1 2
Cartesian
0.000 0.000 0.000
2.465 2.465 0.000
0.000 0.000 2.683
0.000 2.465 2.683
2.465 0.000 2.683
```

***

no.,final energy (hartree per atom)
1,-0.5849
2,-0.6809
3,-0.9142
4,-1.1498
5,-1.0451
6,-1.0971